Entry from Alexandria: a relaxed structure of MgBeMo2 (PBE).

Summary:
As for the formation energy: 0.3423 eV/atom. As for the space group: Pmmm (47).

a = 2.671 Å, b = 4.161 Å, c = 5.357 Å
α = 90.00°, β = 90.00°, γ = 90.00°
Positions (direct):
1 Mo 0.000 0.000 0.016
2 Mg 0.500 0.500 0.750
3 Be 0.500 0.500 0.250
4 Mo 0.000 0.000 0.484